Record 1
Below is a relaxed structure of ReRuW2, with properties calculated at the PBE level.

Cell and atoms, written as CIF:
```
data_ReRuW2
_chemical_formula_sum 'Re1 Ru1 W2'
_symmetry_space_group_name_H-M 'P m m m'
_symmetry_Int_Tables_number 47
_cell_length_a 2.7990
_cell_length_b 3.9154
_cell_length_c 5.6092
_cell_angle_alpha 90.00
_cell_angle_beta 90.00
_cell_angle_gamma 90.00
loop_
_symmetry_equiv_pos_as_xyz
'x,y,z'
'-x,-y,-z'
'-x,-y,z'
'x,y,-z'
'x,-y,-z'
'-x,y,z'
'-x,y,-z'
'x,-y,z'
loop_
_atom_site_label
_atom_site_type_symbol
_atom_site_fract_x
_atom_site_fract_y
_atom_site_fract_z
_atom_site_occupancy
Re1 Re 0.0000 0.0000 0.0000 1
Ru1 Ru 0.0000 0.0000 0.5000 1
W1 W 0.5000 0.5000 0.2519 1
```

Computed properties:
DOS at the Fermi energy: 0.80 states/eV/atom
Electronic total energy: -11.78 eV per atom
Formation energy: 0.130 eV per atom
Energy above the most stable polymorph in this dataset: 2 meV/atom

=====

Record 2
Below is a relaxed structure of Re2RuW, with properties calculated at the PBE level.

Cell and atoms, written as CIF:
```
data_Re2RuW
_chemical_formula_sum 'Re2 Ru1 W1'
_symmetry_space_group_name_H-M 'P 4/m m m'
_symmetry_Int_Tables_number 123
_symmetry_space_group_name_Hall '-P 4 2'
_cell_length_a 4.4662
_cell_length_b 4.4662
_cell_length_c 3.0422
_cell_angle_alpha 90.00
_cell_angle_beta 90.00
_cell_angle_gamma 90.00
loop_
_atom_site_label
_atom_site_type_symbol
_atom_site_fract_x
_atom_site_fract_y
_atom_site_fract_z
_atom_site_occupancy
Re1 Re 0.0000 0.5000 0.0000 1
Ru1 Ru 0.0000 0.0000 0.5000 1
W1 W 0.5000 0.5000 0.5000 1
```

Computed properties:
DOS at the Fermi energy: 1.37 states/eV/atom
Electronic total energy: -11.49 eV per atom
Formation energy: 0.289 eV per atom
Energy above the most stable polymorph in this dataset: 230 meV/atom

=====

Record 3
Below is a relaxed structure of ReRuW2, with properties calculated at the PBE level.

Cell and atoms, written as CIF:
```
data_ReRuW2
_chemical_formula_sum 'Re1 Ru1 W2'
_symmetry_space_group_name_H-M 'P 1 2/m 1'
_symmetry_Int_Tables_number 10
_cell_length_a 2.7286
_cell_length_b 4.3765
_cell_length_c 5.2357
_cell_angle_alpha 90.00
_cell_angle_beta 99.44
_cell_angle_gamma 90.00
loop_
_symmetry_equiv_pos_as_xyz
'x,y,z'
'-x,-y,-z'
'-x,y,-z'
'x,-y,z'
loop_
_atom_site_label
_atom_site_type_symbol
_atom_site_fract_x
_atom_site_fract_y
_atom_site_fract_z
_atom_site_occupancy
Re1 Re 0.0000 0.0000 0.0000 1
Ru1 Ru 0.5000 0.0000 0.5000 1
W1 W 0.2244 0.5000 0.7493 1
```

Computed properties:
DOS at the Fermi energy: 0.95 states/eV/atom
Electronic total energy: -11.73 eV per atom
Formation energy: 0.176 eV per atom
Energy above the most stable polymorph in this dataset: 47 meV/atom

=====

Record 4
Below is a relaxed structure of ReRu3W, with properties calculated at the PBE level.

Cell and atoms, written as CIF:
```
data_ReRu3W
_chemical_formula_sum 'Re1 Ru3 W1'
_symmetry_space_group_name_H-M 'P m -3 m'
_symmetry_Int_Tables_number 221
_symmetry_space_group_name_Hall '-P 4 2 3'
_cell_length_a 4.5764
_cell_length_b 4.5764
_cell_length_c 4.5764
_cell_angle_alpha 90.00
_cell_angle_beta 90.00
_cell_angle_gamma 90.00
loop_
_atom_site_label
_atom_site_type_symbol
_atom_site_fract_x
_atom_site_fract_y
_atom_site_fract_z
_atom_site_occupancy
Re1 Re 0.0000 0.0000 0.0000 1
Ru1 Ru 0.0000 0.5000 0.5000 1
W1 W 0.5000 0.5000 0.5000 1
```

Computed properties:
DOS at the Fermi energy: 1.76 states/eV/atom
Electronic total energy: -8.46 eV per atom
Formation energy: 2.184 eV per atom
Energy above the most stable polymorph in this dataset: 1861 meV/atom

=====

Please write out number 3 again, unchanged.
Below is a relaxed structure of ReRuW2, with properties calculated at the PBE level.

Cell and atoms, written as CIF:
```
data_ReRuW2
_chemical_formula_sum 'Re1 Ru1 W2'
_symmetry_space_group_name_H-M 'P 1 2/m 1'
_symmetry_Int_Tables_number 10
_cell_length_a 2.7286
_cell_length_b 4.3765
_cell_length_c 5.2357
_cell_angle_alpha 90.00
_cell_angle_beta 99.44
_cell_angle_gamma 90.00
loop_
_symmetry_equiv_pos_as_xyz
'x,y,z'
'-x,-y,-z'
'-x,y,-z'
'x,-y,z'
loop_
_atom_site_label
_atom_site_type_symbol
_atom_site_fract_x
_atom_site_fract_y
_atom_site_fract_z
_atom_site_occupancy
Re1 Re 0.0000 0.0000 0.0000 1
Ru1 Ru 0.5000 0.0000 0.5000 1
W1 W 0.2244 0.5000 0.7493 1
```

Computed properties:
DOS at the Fermi energy: 0.95 states/eV/atom
Electronic total energy: -11.73 eV per atom
Formation energy: 0.176 eV per atom
Energy above the most stable polymorph in this dataset: 47 meV/atom

=====

- Which of these has the highest formation energy?
  ReRu3W

=====

Repeat the third record exactly.
Below is a relaxed structure of ReRuW2, with properties calculated at the PBE level.

Cell and atoms, written as CIF:
```
data_ReRuW2
_chemical_formula_sum 'Re1 Ru1 W2'
_symmetry_space_group_name_H-M 'P 1 2/m 1'
_symmetry_Int_Tables_number 10
_cell_length_a 2.7286
_cell_length_b 4.3765
_cell_length_c 5.2357
_cell_angle_alpha 90.00
_cell_angle_beta 99.44
_cell_angle_gamma 90.00
loop_
_symmetry_equiv_pos_as_xyz
'x,y,z'
'-x,-y,-z'
'-x,y,-z'
'x,-y,z'
loop_
_atom_site_label
_atom_site_type_symbol
_atom_site_fract_x
_atom_site_fract_y
_atom_site_fract_z
_atom_site_occupancy
Re1 Re 0.0000 0.0000 0.0000 1
Ru1 Ru 0.5000 0.0000 0.5000 1
W1 W 0.2244 0.5000 0.7493 1
```

Computed properties:
DOS at the Fermi energy: 0.95 states/eV/atom
Electronic total energy: -11.73 eV per atom
Formation energy: 0.176 eV per atom
Energy above the most stable polymorph in this dataset: 47 meV/atom

=====

- Which value of formation energy does entry 1 give?
  0.130 eV per atom